<1>
# Sr2TlOs

A relaxed Sr2TlOs crystal (PBE, Alexandria via LeMat-Bulk).

Lattice parameters (Å, degrees): 3.7217 3.7217 8.9546 90.00 90.00 90.00
Space group P4mm (No. 99)
Asymmetric unit:
Sr 0.0000 0.0000 0.0000
Sr 0.5000 0.5000 0.4168
Tl 0.0000 0.0000 0.6459
Os 0.5000 0.5000 0.7763

<2>
# Sr2TlOs

A relaxed Sr2TlOs crystal (PBE, Alexandria via LeMat-Bulk).

Lattice parameters (Å, degrees): 7.4360 7.4360 7.4360 90.00 90.00 90.00
Space group F-43m (No. 216)
Asymmetric unit:
Sr 0.0000 0.0000 0.0000
Sr 0.2500 0.2500 0.2500
Tl 0.0000 0.0000 0.5000
Os 0.2500 0.2500 0.7500

Verdict on stability: <1> comes out on top.

<1>
# Sr2TlOs

A relaxed Sr2TlOs crystal (PBE, Alexandria via LeMat-Bulk).

Lattice parameters (Å, degrees): 7.6125 7.6125 7.6125 90.00 90.00 90.00
Space group Fm-3m (No. 225)
Asymmetric unit:
Sr 0.2500 0.2500 0.2500
Tl 0.0000 0.0000 0.0000
Os 0.0000 0.0000 0.5000

<2>
# Sr2TlOs

A relaxed Sr2TlOs crystal (PBE, Alexandria via LeMat-Bulk).

Lattice parameters (Å, degrees): 4.7658 4.7658 9.3056 90.00 90.00 90.00
Space group I-4m2 (No. 119)
Asymmetric unit:
Sr 0.0000 0.0000 0.0000
Sr 0.0000 0.5000 0.2500
Tl 0.0000 0.5000 0.7500
Os 0.0000 0.0000 0.5000

Verdict on stability: <1> comes out on top.

<1>
# Sr2TlOs

A relaxed Sr2TlOs crystal (PBE, Alexandria via LeMat-Bulk).

Lattice parameters (Å, degrees): 4.5771 4.6758 11.6146 90.00 90.00 90.00
Space group Amm2 (No. 38)
Asymmetric unit:
Sr 0.0000 0.0000 0.0000
Sr 0.5000 0.0000 0.2834
Tl 0.0000 0.0000 0.7057
Os 0.5000 0.0000 0.5795

<2>
# Sr2TlOs

A relaxed Sr2TlOs crystal (PBE, Alexandria via LeMat-Bulk).

Lattice parameters (Å, degrees): 3.6755 3.6755 8.4035 90.00 90.00 90.00
Space group P4/mmm (No. 123)
Asymmetric unit:
Sr 0.0000 0.0000 0.2087
Tl 0.5000 0.5000 0.5000
Os 0.5000 0.5000 0.0000

Verdict on stability: <1> comes out on top.

<1>
# SrTl3Os

A relaxed SrTl3Os crystal (PBE, Alexandria via LeMat-Bulk).

Lattice parameters (Å, degrees): 5.3332 5.3332 5.3332 90.00 90.00 90.00
Space group Pm-3m (No. 221)
Asymmetric unit:
Sr 0.0000 0.0000 0.0000
Tl 0.0000 0.5000 0.5000
Os 0.5000 0.5000 0.5000

<2>
# SrTl3Os

A relaxed SrTl3Os crystal (PBE, Alexandria via LeMat-Bulk).

Lattice parameters (Å, degrees): 6.0894 6.0894 6.0894 90.00 90.00 90.00
Space group Pm-3m (No. 221)
Asymmetric unit:
Sr 0.0000 0.0000 0.0000
Tl 0.0000 0.0000 0.5000
Os 0.5000 0.5000 0.5000

Verdict on stability: <1> comes out on top.